{
  "formula": "DyMnSi2",
  "functional": "GGA-PBE",
  "state": "relaxed",
  "lattice_angstrom": [[-0.0867, 3.5114, 1.5346], [-4.2153, 2.2123, -5.3004], [-7.9284, -2.4961, 5.2634]],
  "species": ["Si", "Mn", "Si", "Mn", "Si", "Mn", "Mn", "Si", "Dy", "Dy", "Si", "Dy", "Dy", "Si", "Si", "Si"],
  "fractional_positions": [[0.2500, 0.7894, 0.5661], [0.7500, 0.4883, 0.8936], [0.2500, 0.3382, 0.3124], [0.2500, 0.0117, 0.3936], [0.7500, 0.6618, 0.6876], [0.7500, 0.9883, 0.6064], [0.2500, 0.5117, 0.1064], [0.7500, 0.1618, 0.8124], [0.2500, 0.8601, 0.8688], [0.7500, 0.6399, 0.3688], [0.7500, 0.2106, 0.4339], [0.7500, 0.1399, 0.1312], [0.2500, 0.3601, 0.6312], [0.7500, 0.7106, 0.0661], [0.2500, 0.2894, 0.9339], [0.2500, 0.8382, 0.1876]],
  "total_magnetization_mub_per_cell": 7.48,
  "e_tot_ev_per_cell": -108.48,
  "vol_a3_per_cell": 268.67,
  "formation_energy_uncorrected_kcal_per_mol_atoms": -14.433
}